Entry from the Open Quantum Materials Database: BeGaHg after structural relaxation (PBE).

a b c (Å): 4.190 4.190 4.190
angles (deg): 60.00 60.00 60.00
Element x y z (fractional)
Hg1 0.750 0.750 0.750
Be1 0.000 0.000 0.000
Ga1 0.250 0.250 0.250

Results
The crystal system is cubic. The calculation puts the energy above the lowest structure with this stoichiometry at 0 meV per atom. For the calculated volume, the calculation gives 52 Å³/cell.

Entry from the Open Quantum Materials Database: CsErW after structural relaxation (PBE).

a b c (Å): 5.156 5.156 5.156
angles (deg): 60.00 60.00 60.00
Element x y z (fractional)
Cs1 0.250 0.250 0.250
Er1 0.000 0.000 0.000
W1 0.750 0.750 0.750

Results
The crystal system is cubic. The calculation puts the energy above the lowest structure with this stoichiometry at 0 meV per atom. For the calculated volume, the calculation gives 97 Å³/cell.

Entry from the Open Quantum Materials Database: Pm2NdP3 after structural relaxation (PBE).

a b c (Å): 4.142 4.142 10.150
angles (deg): 90.00 90.00 120.00
Element x y z (fractional)
Pm1 0.667 0.333 0.166
Pm2 0.333 0.667 0.834
P1 0.333 0.667 0.332
P2 0.667 0.333 0.668
P3 0.000 0.000 0.000
Nd1 0.000 0.000 0.500

Results
The crystal system is trigonal. For the calculated volume, the calculation gives 151 Å³/cell. The final energy comes out at -39.83 eV per formula unit.

Entry from the Open Quantum Materials Database: RbLuGeTe3 after structural relaxation (PBE).

a b c (Å): 9.449 4.272 11.813
angles (deg): 90.00 111.48 90.00
Element x y z (fractional)
Te1 0.620 0.750 0.783
Te2 0.109 0.750 0.896
Te3 0.173 0.750 0.427
Te4 0.891 0.250 0.104
Te5 0.380 0.250 0.217
Te6 0.827 0.250 0.573
Lu1 0.868 0.250 0.843
Lu2 0.132 0.750 0.157
Ge1 0.383 0.250 0.446
Ge2 0.617 0.750 0.554
Rb1 0.272 0.250 0.723
Rb2 0.728 0.750 0.277

Results
The crystal system is monoclinic. The calculation puts the energy above the lowest structure with this stoichiometry at 0 meV per atom. For the calculated volume, the calculation gives 444 Å³/cell.

Entry from the Open Quantum Materials Database: PaBeRe after structural relaxation (PBE).

a b c (Å): 4.438 4.438 4.438
angles (deg): 60.00 60.00 60.00
Element x y z (fractional)
Pa1 0.000 0.000 0.000
Be1 0.250 0.250 0.250
Re1 0.750 0.750 0.750

Results
The crystal system is cubic. The calculation puts the energy above the lowest structure with this stoichiometry at 859 meV per atom. For the calculated volume, the calculation gives 62 Å³/cell.

Entry from the Open Quantum Materials Database: PPd5 after structural relaxation (PBE).

a b c (Å): 6.665 6.665 8.552
angles (deg): 90.00 90.00 90.00
Element x y z (fractional)
Pd1 0.320 0.402 0.380
Pd2 0.135 0.771 0.847
Pd3 0.865 0.229 0.847
Pd4 0.635 0.271 0.153
Pd5 0.500 0.000 0.387
Pd6 0.500 0.000 0.919
Pd7 0.771 0.865 0.153
Pd8 0.000 0.500 0.613
Pd9 0.098 0.820 0.380
Pd10 0.902 0.180 0.380
Pd11 0.000 0.500 0.081
Pd12 0.729 0.635 0.847
Pd13 0.680 0.598 0.380
Pd14 0.820 0.902 0.620
Pd15 0.598 0.320 0.620
Pd16 0.229 0.135 0.153
Pd17 0.365 0.729 0.153
Pd18 0.271 0.365 0.847
Pd19 0.180 0.098 0.620
Pd20 0.402 0.680 0.620
P1 0.500 0.500 0.000
P2 0.500 0.000 0.657
P3 0.000 0.500 0.343
P4 0.000 0.000 0.000

Results
The crystal system is tetragonal. For the calculated volume, the calculation gives 380 Å³/cell. The final energy comes out at -32.80 eV per formula unit.

Entry from the Open Quantum Materials Database: Si2TcTe after structural relaxation (PBE).

a b c (Å): 4.562 4.562 4.562
angles (deg): 60.00 60.00 60.00
Element x y z (fractional)
Si1 0.250 0.250 0.250
Si2 0.000 0.000 0.000
Te1 0.500 0.500 0.500
Tc1 0.750 0.750 0.750

Results
The crystal system is cubic. For the calculated volume, the calculation gives 67 Å³/cell. The final energy comes out at -22.25 eV per formula unit.

Entry from the Open Quantum Materials Database: CsTaAu after structural relaxation (PBE).

a b c (Å): 4.840 4.840 4.840
angles (deg): 60.00 60.00 60.00
Element x y z (fractional)
Cs1 0.750 0.750 0.750
Au1 0.250 0.250 0.250
Ta1 0.000 0.000 0.000

Results
The crystal system is cubic. The calculation puts the energy above the lowest structure with this stoichiometry at 0 meV per atom. For the calculated volume, the calculation gives 80 Å³/cell.

Entry from the Open Quantum Materials Database: PdS2F6 after structural relaxation (PBE).

a b c (Å): 3.880 4.764 6.673
angles (deg): 100.01 94.98 94.05
Element x y z (fractional)
F1 0.293 0.214 0.445
F2 0.122 0.571 0.267
F3 0.340 0.048 0.792
F4 0.660 0.952 0.208
F5 0.707 0.786 0.555
F6 0.878 0.429 0.733
S1 0.631 0.696 0.767
S2 0.369 0.304 0.233
Pd1 0.000 0.000 0.000

Results
The crystal system is triclinic. For the calculated volume, the calculation gives 121 Å³/cell. The final energy comes out at -35.53 eV per formula unit.

Entry from the Open Quantum Materials Database: Cs2Pd after structural relaxation (PBE).

a b c (Å): 10.358 10.358 10.358
angles (deg): 60.00 60.00 60.00
Element x y z (fractional)
Cs1 0.375 0.375 0.375
Cs2 0.375 0.375 0.875
Cs3 0.375 0.875 0.375
Cs4 0.875 0.375 0.375
Pd1 0.500 0.500 0.500
Pd2 0.250 0.250 0.250

Results
The crystal system is cubic. For the calculated volume, the calculation gives 786 Å³/cell. The final energy comes out at -6.21 eV per formula unit.

Entry from the Open Quantum Materials Database: SrAlOs after structural relaxation (PBE).

a b c (Å): 4.867 4.867 4.867
angles (deg): 60.00 60.00 60.00
Element x y z (fractional)
Al1 0.250 0.250 0.250
Os1 0.750 0.750 0.750
Sr1 0.000 0.000 0.000

Results
The crystal system is cubic. For the calculated volume, the calculation gives 82 Å³/cell. The final energy comes out at -11.69 eV per formula unit.

Entry from the Open Quantum Materials Database: BeZnOs2 after structural relaxation (PBE).

a b c (Å): 4.201 4.201 4.201
angles (deg): 60.00 60.00 60.00
Element x y z (fractional)
Be1 0.500 0.500 0.500
Os1 0.000 0.000 0.000
Os2 0.750 0.750 0.750
Zn1 0.250 0.250 0.250

Results
The crystal system is cubic. For the calculated volume, the calculation gives 52 Å³/cell. The final energy comes out at -26.43 eV per formula unit.